Record 1
This record from the Alexandria database describes Hf6Sn3Sb after structural relaxation. The functional is GGA-PBE.

Unit cell a=7.3891 b=7.4475 c=8.5674 alpha=90.00 beta=90.29 gamma=90.00
With the nearest neighbours (Å) after each atom.
Fractional positions:
Hf1 0.2927 0.1103 0.7484  3 Sn 2.93-3.14, 3 Hf 3.09-3.26, 1 Sb 3.17
Hf2 0.3602 0.8505 0.4477  1 Sb 2.84, 4 Sn 2.92-3.06, 2 Hf 3.09-3.16
Hf3 0.7073 0.8897 0.2516  3 Sn 2.93-3.14, 3 Hf 3.09-3.26, 1 Sb 3.17
Hf4 0.6499 0.1528 0.9468  4 Sn 2.85-3.03, 1 Sb 2.86, 1 Hf 3.15
Hf5 0.1398 0.3505 0.0523  1 Sb 2.84, 4 Sn 2.92-3.06, 2 Hf 3.09-3.16
Hf6 0.6398 0.1495 0.5523  1 Sb 2.84, 4 Sn 2.92-3.06, 2 Hf 3.09-3.16
Hf7 0.8602 0.6495 0.9477  1 Sb 2.84, 4 Sn 2.92-3.06, 2 Hf 3.09-3.16
Hf8 0.3501 0.8472 0.0532  4 Sn 2.85-3.03, 1 Sb 2.86, 1 Hf 3.15
Hf9 0.1499 0.3472 0.4468  4 Sn 2.85-3.03, 1 Sb 2.86, 1 Hf 3.15
Hf10 0.2073 0.6103 0.7516  3 Sn 2.93-3.14, 3 Hf 3.09-3.26, 1 Sb 3.17
Hf11 0.8501 0.6528 0.5532  4 Sn 2.85-3.03, 1 Sb 2.86, 1 Hf 3.15
Hf12 0.7927 0.3897 0.2484  3 Sn 2.93-3.14, 3 Hf 3.09-3.26, 1 Sb 3.17
Sn1 0.9308 0.3283 0.7437  8 Hf 2.93-3.13, 1 Sn 3.26
Sn2 0.4308 0.1717 0.2437  8 Hf 2.93-3.13, 1 Sn 3.26
Sn3 0.0692 0.6717 0.2563  8 Hf 2.93-3.13, 1 Sn 3.26
Sn4 0.5692 0.8283 0.7563  8 Hf 2.93-3.13, 1 Sn 3.26
Sn5 0.5000 0.5000 0.0000  6 Hf 2.85-3.14
Sn6 0.0000 0.0000 0.5000  6 Hf 2.85-3.14
Sb1 0.5000 0.5000 0.5000  6 Hf 2.84-3.17
Sb2 0.0000 0.0000 0.0000  6 Hf 2.84-3.17

Spin magnetization: 0.0 Bohr magnetons per cell
Formation energy without anion corrections: -0.140 eV/atom

=====

Record 2
This record from the Alexandria database describes HfSnSb2Te after structural relaxation. The functional is GGA-PBE.

Unit cell a=5.5559 b=5.5559 c=5.4924 alpha=90.00 beta=90.00 gamma=90.00
With the nearest neighbours (Å) after each atom.
Fractional positions:
Sn1 0.5000 0.5000 0.5000  8 Sb 3.91, 4 Te 3.93
Sb1 0.0000 0.5000 0.0000  2 Hf 2.78
Sb2 0.5000 0.0000 0.0000  2 Hf 2.78
Te1 0.0000 0.0000 0.5000  2 Hf 2.75
Hf1 0.0000 0.0000 0.0000  2 Te 2.75, 4 Sb 2.78

Spin magnetization: 0.0 Bohr magnetons per cell
ΔE to the lowest computed polymorph: 0.00 eV/f.u.
Formation energy without anion corrections: 0.188 eV/atom

=====

Record 3
This record from the Alexandria database describes HfSnSb2Te after structural relaxation. The functional is GGA-PBE.

Unit cell a=5.4949 b=5.4949 c=5.5265 alpha=90.00 beta=90.00 gamma=90.00
With the nearest neighbours (Å) after each atom.
Fractional positions:
Te1 0.0000 0.0000 0.5000  2 Sn 2.76
Hf1 0.5000 0.5000 0.5000  4 Te 3.89, 8 Sb 3.90
Sn1 0.0000 0.0000 0.0000  4 Sb 2.75, 2 Te 2.76
Sb1 0.0000 0.5000 0.0000  2 Sn 2.75
Sb2 0.5000 0.0000 0.0000  2 Sn 2.75

Spin magnetization: 0.0 Bohr magnetons per cell
ΔE to the lowest computed polymorph: 3.94 eV/f.u.
Formation energy without anion corrections: 0.976 eV/atom